(1)
DFT (PBE) results for a relaxed Ag2AsCl8 crystal.

Unit cell a=8.3075 b=8.3075 c=6.6634 alpha=90.01 beta=90.01 gamma=48.52
Fractional coordinates of all 11 atoms:
Ag: 0.1698 0.1698 0.1188
Ag: 0.8302 0.8302 0.8812
As: 0.0000 0.0000 0.5000
Cl: 0.1192 0.1192 0.7126
Cl: 0.1723 0.6901 0.6938
Cl: 0.3099 0.8277 0.3062
Cl: 0.3159 0.3159 0.9932
Cl: 0.6841 0.6841 0.0068
Cl: 0.6901 0.1723 0.6938
Cl: 0.8277 0.3099 0.3062
Cl: 0.8808 0.8808 0.2874

Summary:
As for the space group: C2/m (12). The calculation puts the uncorrected formation energy at -7.187 kcal/mol of atoms.



(2)
DFT (PBE) results for a relaxed NdPu4S6 crystal.

Unit cell a=6.8710 b=6.8710 c=20.0499 alpha=90.00 beta=90.00 gamma=146.71
Fractional coordinates of all 22 atoms:
Nd: 0.1515 0.8485 0.7500
Nd: 0.8485 0.1515 0.2500
Pu: 0.0947 0.9053 0.1302
Pu: 0.0947 0.9053 0.3698
Pu: 0.3631 0.6369 0.0430
Pu: 0.3631 0.6369 0.4570
Pu: 0.6369 0.3631 0.5430
Pu: 0.6369 0.3631 0.9570
Pu: 0.9053 0.0947 0.6302
Pu: 0.9053 0.0947 0.8698
S: 0.0000 0.0000 0.0000
S: 0.0000 0.0000 0.5000
S: 0.1940 0.8060 0.2500
S: 0.2728 0.7272 0.5845
S: 0.2728 0.7272 0.9155
S: 0.4551 0.5449 0.1666
S: 0.4551 0.5449 0.3334
S: 0.5449 0.4551 0.6666
S: 0.5449 0.4551 0.8334
S: 0.7272 0.2728 0.0845
S: 0.7272 0.2728 0.4155
S: 0.8060 0.1940 0.7500

Summary:
As for the space group: Cmcm (63). The calculation puts the uncorrected formation energy at -41.460 kcal/mol of atoms.



(3)
DFT (PBE) results for a relaxed CaTe2As crystal.

Unit cell a=6.2876 b=6.2876 c=6.2876 alpha=138.58 beta=138.58 gamma=60.02
Fractional coordinates of all 4 atoms:
Ca: 0.0000 0.0000 0.0000
Te: 0.2500 0.7500 0.5000
Te: 0.7500 0.2500 0.5000
As: 0.5000 0.5000 0.0000

Summary:
As for the space group: I4/mmm (139). The calculation puts the uncorrected formation energy at -7.876 kcal/mol of atoms.



(4)
DFT (PBE) results for a relaxed MgZnTe crystal.

Unit cell a=4.1149 b=4.1149 c=5.0633 alpha=90.00 beta=90.00 gamma=120.00
Fractional coordinates of all 3 atoms:
Mg: 0.0000 0.0000 0.0000
Zn: 0.3333 0.6667 0.6546
Te: 0.6667 0.3333 0.3452

Summary:
As for the space group: P3m1 (156). The calculation puts the uncorrected formation energy at -5.233 kcal/mol of atoms.



(5)
DFT (PBE) results for a relaxed Ca2NiSb crystal.

Unit cell a=6.5116 b=6.5116 c=6.5116 alpha=103.68 beta=103.68 gamma=121.80
Fractional coordinates of all 8 atoms:
Ca: 0.0773 0.6250 0.9523
Ca: 0.3750 0.3273 0.4523
Ca: 0.6727 0.1250 0.0477
Ca: 0.8750 0.9227 0.5477
Ni: 0.0000 0.0000 0.0000
Ni: 0.7500 0.2500 0.5000
Sb: 0.2500 0.7500 0.5000
Sb: 0.5000 0.5000 0.0000

Summary:
As for the space group: I-42d (122). The calculation puts the uncorrected formation energy at -4.397 kcal/mol of atoms.



(6)
DFT (PBE) results for a relaxed Cd3ReRu crystal.

Unit cell a=5.0868 b=5.0868 c=5.0868 alpha=90.00 beta=90.00 gamma=90.00
Fractional coordinates of all 5 atoms:
Cd: 0.0000 0.0000 0.5000
Cd: 0.0000 0.5000 0.0000
Cd: 0.5000 0.0000 0.0000
Re: 0.5000 0.5000 0.5000
Ru: 0.0000 0.0000 0.0000

Summary:
As for the energy of formation: 1.68 eV/atom. As for the space group: Pm-3m (221).



no.,VASP energy (eV per cell)
1,-28.55
2,-213.27
3,-14.30
4,-6.69
5,-29.34
6,-16.09